(1)
TlInAu2 | GGA-PBEsol | relaxed

crystal system = monoclinic
magnetic moment = 0.00 μB per formula unit
E_form = -0.02 eV/atom

Lattice parameters (Å, degrees): 3.1144 3.5959 7.4951 90.00 95.09 90.00
Space group P2/m (No. 10)
Unique sites:
Tl  0.0000  0.0000  0.0000 (multiplicity 1)
In  0.0000  0.0000  0.5000 (multiplicity 1)
Au  0.4720  0.5000  0.2759 (multiplicity 2)


(2)
Tl2InAu2 | GGA-PBEsol | relaxed

crystal system = tetragonal
magnetic moment = 0.00 μB per formula unit
E_form = 0.07 eV/atom
ΔE to the lowest computed polymorph = 90.7 meV/atom

Lattice parameters (Å, degrees): 3.8123 3.8123 16.7787 90.00 90.00 90.00
Space group I4/mmm (No. 139)
Unique sites:
Tl  0.0000  0.0000  0.1108 (multiplicity 4)
In  0.0000  0.0000  0.5000 (multiplicity 2)
Au  0.0000  0.5000  0.2500 (multiplicity 4)


(3)
TlInAu2 | GGA-PBEsol | relaxed

crystal system = trigonal
magnetic moment = 0.00 μB per formula unit
E_form = -0.04 eV/atom

Lattice parameters (Å, degrees): 4.0009 4.0009 19.8680 90.00 90.00 120.00
Space group R-3m (No. 166, hexagonal axes)
Unique sites:
Tl  0.0000  0.0000  0.0000 (multiplicity 3)
In  0.0000  0.0000  0.5000 (multiplicity 3)
Au  0.0000  0.0000  0.2456 (multiplicity 6)


(4)
TlIn2Au | GGA-PBEsol | relaxed

crystal system = tetragonal
magnetic moment = 0.00 μB per formula unit
E_form = -0.08 eV/atom
ΔE to the lowest computed polymorph = 0.0 meV/atom

Lattice parameters (Å, degrees): 3.2716 3.2716 8.8014 90.00 90.00 90.00
Space group P4/mmm (No. 123)
Unique sites:
Tl  0.0000  0.0000  0.0000 (multiplicity 1)
In  0.5000  0.5000  0.2937 (multiplicity 2)
Au  0.0000  0.0000  0.5000 (multiplicity 1)


(5)
TlInAu2 | GGA-PBEsol | relaxed

crystal system = orthorhombic
magnetic moment = 0.00 μB per formula unit
E_form = -0.02 eV/atom

Lattice parameters (Å, degrees): 3.1080 3.7414 7.4356 90.00 90.00 90.00
Space group Pmm2 (No. 25)
Unique sites:
Tl  0.0000  0.0000  0.0000 (multiplicity 1)
In  0.5000  0.5000  0.6662 (multiplicity 1)
Au  0.0000  0.0000  0.4517 (multiplicity 1)
Au  0.5000  0.5000  0.2494 (multiplicity 1)


(6)
TlInAu2 | GGA-PBEsol | relaxed

crystal system = tetragonal
magnetic moment = 0.00 μB per formula unit
E_form = 0.04 eV/atom

Lattice parameters (Å, degrees): 4.2750 4.2750 8.9587 90.00 90.00 90.00
Space group I-4m2 (No. 119)
Unique sites:
Tl  0.0000  0.0000  0.0000 (multiplicity 2)
In  0.0000  0.5000  0.7500 (multiplicity 2)
Au  0.0000  0.0000  0.5000 (multiplicity 2)
Au  0.0000  0.5000  0.2500 (multiplicity 2)


(7)
TlInAu4 | GGA-PBEsol | relaxed

crystal system = cubic
magnetic moment = 0.00 μB per formula unit
E_form = -0.01 eV/atom

Lattice parameters (Å, degrees): 7.8291 7.8291 7.8291 90.00 90.00 90.00
Space group F-43m (No. 216)
Unique sites:
Tl  0.0000  0.0000  0.0000 (multiplicity 4)
In  0.2500  0.2500  0.2500 (multiplicity 4)
Au  0.1248  0.1248  0.6248 (multiplicity 16)


(8)
TlIn2Au | GGA-PBEsol | relaxed

crystal system = tetragonal
magnetic moment = 0.00 μB per formula unit
E_form = -0.03 eV/atom
ΔE to the lowest computed polymorph = 45.3 meV/atom

Lattice parameters (Å, degrees): 3.3411 3.3411 8.4618 90.00 90.00 90.00
Space group P4mm (No. 99)
Unique sites:
Tl  0.0000  0.0000  0.0000 (multiplicity 1)
In  0.0000  0.0000  0.4318 (multiplicity 1)
In  0.5000  0.5000  0.7048 (multiplicity 1)
Au  0.5000  0.5000  0.2367 (multiplicity 1)